{
  "formula": "Be2CrMo",
  "functional": "GGA-PBE",
  "state": "optimized geometry",
  "magnetic_moment_mub_per_fu": 0.00,
  "space_group": "C2/m, No. 12",
  "delta_e_f_mev_per_atom": 96.5,
  "volume_a3_per_atom": 11.33,
  "de_polymorph_mev_per_atom": 175,
  "lattice": [[2.477, -3.681, 0.000], [2.477, 3.681, 0.000], [-0.361, 0.000, 2.486]],
  "species": ["Be", "Be", "Cr", "Mo"],
  "frac_coords": [[0.000, 0.500, 0.000], [0.500, 0.000, 0.000], [0.000, 0.000, 0.500], [0.500, 0.500, 0.500]]
}